Computed, not measured: a relaxed structure of TiSi2Rh at the GGA-PBE level of DFT.

a = 4.3011 Å, b = 4.3011 Å, c = 4.3011 Å
α = 60.00°, β = 60.00°, γ = 60.00°
With the nearest neighbours (Å) after each atom.
Sites, in units of the cell vectors:
Si: 0.2500 0.2500 0.2500  4 Rh 2.63, 4 Ti 2.63
Si: 0.7500 0.7500 0.7500  4 Rh 2.63, 4 Ti 2.63
Rh: 0.5000 0.5000 0.5000  8 Si 2.63
Ti: 0.0000 0.0000 0.0000  8 Si 2.63

Properties
DOS(E_F)	4.23	states/eV/f.u.
space-group type	Fm-3m (225)



Computed, not measured: a relaxed structure of PtRh3S at the GGA-PBE level of DFT.

a = 4.3364 Å, b = 4.3364 Å, c = 4.3364 Å
α = 90.00°, β = 90.00°, γ = 90.00°
With the nearest neighbours (Å) after each atom.
Sites, in units of the cell vectors:
Rh: 0.0000 0.0000 0.5000  2 S 2.17
Rh: 0.5000 0.0000 0.0000  2 S 2.17
Rh: 0.0000 0.5000 0.0000  2 S 2.17
Pt: 0.5000 0.5000 0.5000  12 Rh 3.07
S: 0.0000 0.0000 0.0000  6 Rh 2.17

Properties
DOS(E_F)	9.54	states/eV/f.u.
space-group type	Pm-3m (221)



Computed, not measured: a relaxed structure of LiCeDy4S8 at the GGA-PBE level of DFT.

a = 8.0124 Å, b = 8.0124 Å, c = 8.1236 Å
α = 60.45°, β = 60.45°, γ = 60.00°
With the nearest neighbours (Å) after each atom.
Sites, in units of the cell vectors:
S: 0.2426 0.2426 0.2723  1 Li 2.66, 3 Dy 2.71
S: 0.7528 0.7528 0.2664  3 Dy 2.62-2.80, 1 Ce 2.87
S: 0.7528 0.2280 0.2664  3 Dy 2.62-2.80, 1 Ce 2.87
S: 0.2473 0.7693 0.7361  1 Li 2.58, 2 Dy 2.71, 1 Ce 2.79
S: 0.7587 0.7587 0.7239  4 Dy 2.65-2.81
S: 0.2280 0.7528 0.2664  3 Dy 2.62-2.80, 1 Ce 2.87
S: 0.7693 0.2473 0.7361  1 Li 2.58, 2 Dy 2.71, 1 Ce 2.79
S: 0.2473 0.2473 0.7361  1 Li 2.58, 2 Dy 2.71, 1 Ce 2.79
Dy: 0.0047 0.4865 0.5042  6 S 2.71-2.81
Dy: 0.4865 0.0047 0.5042  6 S 2.71-2.81
Dy: 0.0047 0.0047 0.5042  6 S 2.71-2.81
Dy: 0.6266 0.6266 0.1201  4 S 2.62-2.65
Ce: 0.0034 0.0034 0.9898  6 S 2.79-2.87
Li: 0.3754 0.3754 0.8737  4 S 2.58-2.66

Properties
DOS(E_F)	5.93	states/eV/f.u.
space-group type	R3m (160)



Computed, not measured: a relaxed structure of PrO3 at the GGA-PBE level of DFT.

a = 5.5986 Å, b = 5.5986 Å, c = 4.4053 Å
α = 90.00°, β = 90.00°, γ = 120.00°
With the nearest neighbours (Å) after each atom.
Sites, in units of the cell vectors:
O: 0.2708 0.4175 0.2500  2 O 2.18
O: 0.1467 0.7292 0.2500  2 O 2.18
O: 0.7292 0.5825 0.7500  2 O 2.18
O: 0.4175 0.1467 0.7500  2 O 2.18
O: 0.5825 0.8533 0.2500  2 O 2.18
O: 0.8533 0.2708 0.7500  2 O 2.18
Pr: 0.6667 0.3333 0.2500  9 O 2.49-2.54
Pr: 0.3333 0.6667 0.7500  9 O 2.49-2.54

Properties
space-group type	P6_3/m (176)



Number 1: energy -6.97 eV/atom. Number 2: energy -6.11 eV/atom. Number 3: energy -6.17 eV/atom. Number 4: energy -6.33 eV/atom.